Y4NiPd3: optimized geometry, PBE.

```
data_Y4NiPd3
_cell_length_a 5.5626
_cell_length_b 4.5396
_cell_length_c 7.0204
_cell_angle_alpha 90.00
_cell_angle_beta 90.47
_cell_angle_gamma 90.00
_symmetry_space_group_name_H-M 'P 1'
_symmetry_Int_Tables_number 1
loop_
_symmetry_equiv_pos_as_xyz
'x,y,z'
loop_
_atom_site_label
_atom_site_fract_x
_atom_site_fract_y
_atom_site_fract_z
Y1 0.0000 0.0000 0.0000
Y2 0.2074 0.0000 0.5138
Y3 0.4957 0.5000 0.8695
Y4 0.7148 0.5000 0.3773
Ni1 0.0025 0.5000 0.7302
Pd1 0.2022 0.5000 0.2323
Pd2 0.5080 0.0000 0.1502
Pd3 0.7119 0.0000 0.6521
```

Y2Ni2Pd: optimized geometry, PBE.

```
data_Y2Ni2Pd
_cell_length_a 7.1511
_cell_length_b 7.1511
_cell_length_c 3.6791
_cell_angle_alpha 90.00
_cell_angle_beta 90.00
_cell_angle_gamma 90.00
_symmetry_space_group_name_H-M 'P 1'
_symmetry_Int_Tables_number 1
loop_
_symmetry_equiv_pos_as_xyz
'x,y,z'
loop_
_atom_site_label
_atom_site_fract_x
_atom_site_fract_y
_atom_site_fract_z
Y1 0.1813 0.3187 0.0000
Y2 0.3187 0.8187 0.0000
Y3 0.6813 0.1813 0.0000
Y4 0.8187 0.6813 0.0000
Ni1 0.1173 0.6173 0.5000
Ni2 0.3827 0.1173 0.5000
Ni3 0.6173 0.8827 0.5000
Ni4 0.8827 0.3827 0.5000
Pd1 0.0000 0.0000 0.5000
Pd2 0.5000 0.5000 0.5000
```

Results for energy of formation from the pure elements: -0.79 -0.56 (in eV/atom, following the order of the records).